1.
Y13Ho3O24 | SCAN | single point on PBEsol structure

E_form (uncorrected) ... -3.94 eV per atom
Crystal system ... triclinic
Space group ... P1 (1)

Cell lengths 9.116, 9.117, 9.119 Å; angles 109.48, 109.46, 109.46 degrees
Element x y z (fractional)
Y: 0.000 0.000 0.000
Y: 0.000 0.499 0.500
Y: 0.033 0.717 0.250
Y: 0.217 0.184 0.468
Y: 0.250 0.967 0.717
Y: 0.282 0.749 0.967
Y: 0.467 0.217 0.185
Y: 0.500 0.434 0.935
Y: 0.500 0.934 0.435
Y: 0.533 0.716 0.750
Y: 0.717 0.684 0.468
Y: 0.750 0.967 0.218
Y: 0.783 0.250 0.967
Ho: 0.250 0.467 0.217
Ho: 0.750 0.467 0.717
Ho: 0.967 0.217 0.685
O: 0.012 0.456 0.249
O: 0.020 0.497 0.760
O: 0.023 0.229 0.947
O: 0.208 0.956 0.946
O: 0.218 0.206 0.729
O: 0.239 0.694 0.175
O: 0.261 0.240 0.260
O: 0.281 0.727 0.706
O: 0.292 0.978 0.489
O: 0.477 0.705 0.487
O: 0.480 0.435 0.675
O: 0.489 0.478 0.186
O: 0.511 0.696 0.989
O: 0.521 0.195 0.957
O: 0.522 0.009 0.229
O: 0.708 0.197 0.686
O: 0.718 0.424 0.448
O: 0.739 0.998 0.978
O: 0.762 0.937 0.458
O: 0.782 0.509 0.987
O: 0.793 0.737 0.749
O: 0.979 0.738 0.478
O: 0.979 0.925 0.206
O: 0.989 0.237 0.446


2.
SbMoOs2 | SCAN | single point on PBEsol structure

E_form (uncorrected) ... 0.54 eV per atom
Crystal system ... trigonal
Space group ... R3m (160)

Cell lengths 2.893, 2.893, 26.233 Å; angles 90.00, 90.00, 120.00 degrees
Element x y z (fractional)
Sb: 0.000 0.000 0.000
Sb: 0.333 0.667 0.667
Sb: 0.667 0.333 0.333
Mo: 0.000 0.000 0.245
Mo: 0.333 0.667 0.912
Mo: 0.667 0.333 0.579
Os: 0.000 0.000 0.498
Os: 0.000 0.000 0.750
Os: 0.333 0.667 0.165
Os: 0.333 0.667 0.417
Os: 0.667 0.333 0.084
Os: 0.667 0.333 0.831


3.
Cu3Ni | SCAN | single point on PBEsol structure

DFT formation energy ... 0.05 eV per atom
Crystal system ... monoclinic
Space group ... P2/m (10)

Cell lengths 2.459, 3.592, 4.933 Å; angles 90.00, 94.53, 90.00 degrees
Element x y z (fractional)
Cu: 0.000 0.000 0.000
Cu: 0.499 0.500 0.253
Cu: 0.501 0.500 0.747
Ni: 0.000 0.000 0.500


4.
RbZrF2 | SCAN | single point on PBEsol structure

E_form (uncorrected) ... -1.89 eV per atom
Crystal system ... tetragonal
Space group ... I-42d (122)

Cell lengths 6.211, 6.211, 8.929 Å; angles 90.00, 90.00, 90.00 degrees
Element x y z (fractional)
Rb: 0.000 0.000 0.000
Rb: 0.000 0.500 0.250
Rb: 0.500 0.000 0.750
Rb: 0.500 0.500 0.500
Zr: 0.000 0.000 0.500
Zr: 0.000 0.500 0.750
Zr: 0.500 0.000 0.250
Zr: 0.500 0.500 0.000
F: 0.188 0.750 0.625
F: 0.250 0.188 0.375
F: 0.250 0.312 0.875
F: 0.312 0.750 0.125
F: 0.688 0.250 0.125
F: 0.750 0.688 0.875
F: 0.750 0.812 0.375
F: 0.812 0.250 0.625


5.
Co2ReHg | SCAN | single point on PBEsol structure

DFT formation energy ... 0.40 eV per atom
Crystal system ... tetragonal
Space group ... P4/mmm (123)

Cell lengths 2.713, 2.713, 7.295 Å; angles 90.00, 90.00, 90.00 degrees
Element x y z (fractional)
Co: 0.000 0.000 0.225
Co: 0.000 0.000 0.775
Re: 0.500 0.500 0.000
Hg: 0.500 0.500 0.500


6.
Ta5Mo | SCAN | single point on PBEsol structure

DFT formation energy ... -0.08 eV per atom
Crystal system ... tetragonal
Space group ... P4/mmm (123)

Cell lengths 3.241, 3.241, 9.819 Å; angles 90.00, 90.00, 90.00 degrees
Element x y z (fractional)
Ta: 0.000 0.000 0.000
Ta: 0.000 0.000 0.341
Ta: 0.000 0.000 0.659
Ta: 0.500 0.500 0.168
Ta: 0.500 0.500 0.832
Mo: 0.500 0.500 0.500


7.
YTc2Pb | SCAN | single point on PBEsol structure

DFT formation energy ... -0.02 eV per atom
Crystal system ... tetragonal
Space group ... P4mm (99)

Cell lengths 3.105, 3.105, 8.116 Å; angles 90.00, 90.00, 90.00 degrees
Element x y z (fractional)
Y: 0.000 0.000 0.000
Tc: 0.000 0.000 0.585
Tc: 0.500 0.500 0.753
Pb: 0.500 0.500 0.332


8.
TlOs2Pt | SCAN | single point on PBEsol structure

DFT formation energy ... 0.92 eV per atom
Crystal system ... monoclinic
Space group ... C2/m (12)

Cell lengths 5.459, 9.833, 2.811 Å; angles 90.00, 120.91, 90.00 degrees
Element x y z (fractional)
Tl: 0.000 0.000 0.000
Tl: 0.500 0.500 0.000
Os: 0.250 0.250 0.500
Os: 0.250 0.750 0.500
Os: 0.750 0.250 0.500
Os: 0.750 0.750 0.500
Pt: 0.000 0.500 0.000
Pt: 0.500 0.000 0.000


9.
MnBiO2 | SCAN | single point on PBEsol structure

E_form (uncorrected) ... -1.12 eV per atom
Crystal system ... tetragonal
Space group ... I-42d (122)

Cell lengths 5.172, 5.172, 9.508 Å; angles 90.00, 90.00, 90.00 degrees
Element x y z (fractional)
Mn: 0.000 0.000 0.000
Mn: 0.000 0.500 0.250
Mn: 0.500 0.000 0.750
Mn: 0.500 0.500 0.500
Bi: 0.000 0.000 0.500
Bi: 0.000 0.500 0.750
Bi: 0.500 0.000 0.250
Bi: 0.500 0.500 0.000
O: 0.172 0.250 0.125
O: 0.250 0.672 0.375
O: 0.250 0.828 0.875
O: 0.328 0.250 0.625
O: 0.672 0.750 0.625
O: 0.750 0.172 0.875
O: 0.750 0.328 0.375
O: 0.828 0.750 0.125


10.
Li3Cr | SCAN | single point on PBEsol structure

DFT formation energy ... 0.23 eV per atom
Crystal system ... hexagonal
Space group ... P6_3/mmc (194)

Cell lengths 5.818, 5.818, 4.850 Å; angles 90.00, 90.00, 120.00 degrees
Element x y z (fractional)
Li: 0.169 0.339 0.250
Li: 0.169 0.831 0.250
Li: 0.339 0.169 0.750
Li: 0.661 0.831 0.250
Li: 0.831 0.169 0.750
Li: 0.831 0.661 0.750
Cr: 0.333 0.667 0.750
Cr: 0.667 0.333 0.250


11.
Re5Rh | SCAN | single point on PBEsol structure

DFT formation energy ... -0.08 eV per atom
Crystal system ... orthorhombic
Space group ... Amm2 (38)

Cell lengths 4.390, 2.747, 14.323 Å; angles 90.00, 90.00, 90.00 degrees
Element x y z (fractional)
Re: 0.000 0.000 0.000
Re: 0.000 0.000 0.332
Re: 0.000 0.000 0.666
Re: 0.000 0.500 0.166
Re: 0.000 0.500 0.500
Re: 0.000 0.500 0.832
Re: 0.500 0.000 0.110
Re: 0.500 0.000 0.442
Re: 0.500 0.500 0.610
Re: 0.500 0.500 0.942
Rh: 0.500 0.000 0.779
Rh: 0.500 0.500 0.279


12.
Zr2CoCu | SCAN | single point on PBEsol structure

DFT formation energy ... -0.28 eV per atom
Crystal system ... tetragonal
Space group ... P4/mmm (123)

Cell lengths 3.167, 3.167, 6.420 Å; angles 90.00, 90.00, 90.00 degrees
Element x y z (fractional)
Zr: 0.000 0.000 0.241
Zr: 0.000 0.000 0.759
Co: 0.500 0.500 0.000
Cu: 0.500 0.500 0.500


Calculated total energy in eV/f.u., matching the order above: -816.095; -213.749; -61.589; -66.068; -172.287; -368.254; -173.821; -282.633; -113.775; -24.647; -389.729; -95.014